! Ba2Sr6Ti7MnO24 GGA-PBEsol relaxed; values from VASP
&SYSTEM
  ibrav = 0, nat = 40, ntyp = 5
/
ATOMIC_SPECIES
Ba 137.33 Ba.upf
Sr 87.62 Sr.upf
Ti 47.87 Ti.upf
Mn 54.94 Mn.upf
O 16.00 O.upf
CELL_PARAMETERS angstrom
7.8208 0.0000 0.0000
0.0000 7.8104 0.0010
0.0000 -0.0039 7.8104
ATOMIC_POSITIONS crystal
Ba 0.2499 0.7516 0.7516
Ba 0.2499 0.2484 0.2484
Sr 0.7540 0.7508 0.7508
Sr 0.7536 0.7506 0.2494
Sr 0.2508 0.7526 0.2474
Sr 0.7536 0.2494 0.7506
Sr 0.7540 0.2492 0.2492
Sr 0.2508 0.2474 0.7526
Ti 0.0003 0.0000 0.5000
Ti 0.5103 0.0000 0.0000
Ti 0.5053 0.0000 0.5000
Ti 0.0003 0.5000 0.0000
Ti 0.0020 0.5000 0.5000
Ti 0.5053 0.5000 0.0000
Ti 0.5063 0.5000 0.5000
Mn 0.0006 0.0000 0.0000
O 0.9940 0.7546 0.0022
O 0.9934 0.7506 0.4983
O 0.5030 0.7508 0.0021
O 0.5022 0.7504 0.4979
O 0.9940 0.2454 0.9978
O 0.9934 0.2494 0.5017
O 0.5030 0.2492 0.9979
O 0.5022 0.2496 0.5021
O 0.7532 0.0000 0.0000
O 0.7491 0.0000 0.5000
O 0.2410 0.0000 0.0000
O 0.2474 0.0000 0.5000
O 0.7491 0.5000 0.0000
O 0.7485 0.5000 0.5000
O 0.2474 0.5000 0.0000
O 0.2470 0.5000 0.5000
O 0.9940 0.0022 0.7546
O 0.9940 0.9978 0.2454
O 0.5030 0.0021 0.7508
O 0.5030 0.9979 0.2492
O 0.9934 0.4983 0.7506
O 0.9934 0.5017 0.2494
O 0.5022 0.4979 0.7504
O 0.5022 0.5021 0.2496
! E_form (uncorrected): -3.069 eV/atom
! volume: 11.93 Å³/atom
! symmetry: No. 35

=====

! BaSr7Ti5Mn3O24 GGA-PBEsol relaxed; values from VASP
&SYSTEM
  ibrav = 0, nat = 40, ntyp = 5
/
ATOMIC_SPECIES
Ba 137.33 Ba.upf
Sr 87.62 Sr.upf
Ti 47.87 Ti.upf
Mn 54.94 Mn.upf
O 16.00 O.upf
CELL_PARAMETERS angstrom
-0.6208 -6.8393 3.5243
4.6053 -3.1872 -5.3588
6.2104 1.6602 4.3311
ATOMIC_POSITIONS crystal
Ba 0.2469 0.2497 0.2497
Sr 0.2469 0.7530 0.2494
Sr 0.2472 0.7538 0.7538
Sr 0.2469 0.2494 0.7530
Sr 0.7553 0.7517 0.2500
Sr 0.7554 0.7528 0.7528
Sr 0.7560 0.2508 0.2508
Sr 0.7553 0.2500 0.7517
Ti 0.0002 0.5064 0.5064
Ti 0.5073 0.0005 0.0005
Ti 0.5050 0.0003 0.5025
Ti 0.5050 0.5025 0.0003
Ti 0.5017 0.5025 0.5025
Mn 0.0020 0.0045 0.0045
Mn 0.0013 0.0020 0.5073
Mn 0.0013 0.5073 0.0020
O 0.2413 0.9969 0.9969
O 0.2432 0.9959 0.5023
O 0.2432 0.5023 0.9959
O 0.2485 0.5027 0.5027
O 0.7540 0.9974 0.9974
O 0.7544 0.9994 0.5007
O 0.7544 0.5007 0.9994
O 0.7515 0.4992 0.4992
O 0.9966 0.7462 0.9924
O 0.9983 0.7532 0.4991
O 0.9921 0.2442 0.9916
O 0.9967 0.2433 0.5032
O 0.4985 0.7502 0.9981
O 0.5012 0.7501 0.5002
O 0.5023 0.2492 0.9960
O 0.5023 0.2490 0.5025
O 0.9921 0.9915 0.2442
O 0.9966 0.9924 0.7462
O 0.9967 0.5032 0.2433
O 0.9983 0.4991 0.7532
O 0.5023 0.9960 0.2492
O 0.4985 0.9981 0.7502
O 0.5023 0.5025 0.2490
O 0.5012 0.5002 0.7501
! E_form (uncorrected): -2.849 eV/atom
! volume: 11.59 Å³/atom
! symmetry: No. 8

=====

! Ba3Ta2MnO9 GGA-PBEsol relaxed; values from VASP
&SYSTEM
  ibrav = 0, nat = 15, ntyp = 4
/
ATOMIC_SPECIES
Ba 137.33 Ba.upf
Ta 180.95 Ta.upf
Mn 54.94 Mn.upf
O 16.00 O.upf
CELL_PARAMETERS angstrom
-2.4877 -0.1941 5.0999
2.9199 -4.4804 -1.9066
5.7981 2.5341 2.9247
ATOMIC_POSITIONS crystal
Ba 0.0000 0.0000 0.0000
Ba 0.6667 0.3333 0.3373
Ba 0.3333 0.6667 0.6627
Ta 0.6667 0.3333 0.8200
Ta 0.3333 0.6667 0.1800
Mn 0.0000 0.0000 0.5000
O 0.5000 0.5000 0.0000
O 0.0000 0.5000 0.0000
O 0.5000 0.0000 0.0000
O 0.8341 0.6682 0.6659
O 0.1659 0.3318 0.3341
O 0.8341 0.1659 0.6659
O 0.1659 0.8341 0.3341
O 0.3318 0.1659 0.6659
O 0.6682 0.8341 0.3341
! E_form (uncorrected): -2.775 eV/atom
! volume: 12.97 Å³/atom
! symmetry: No. 164

=====

! BaTbMn2O5 GGA-PBEsol relaxed; values from VASP
&SYSTEM
  ibrav = 0, nat = 9, ntyp = 4
/
ATOMIC_SPECIES
Ba 137.33 Ba.upf
Tb 158.93 Tb.upf
Mn 54.94 Mn.upf
O 16.00 O.upf
CELL_PARAMETERS angstrom
-0.1237 2.5943 -2.8916
-3.4910 1.1951 1.2215
3.2537 5.0320 4.3755
ATOMIC_POSITIONS crystal
Ba 0.5000 0.5000 0.0000
Tb 0.5000 0.5000 0.5000
Mn 0.0000 0.0000 0.2737
Mn 0.0000 0.0000 0.7263
O 0.0000 0.5000 0.6926
O 0.5000 0.0000 0.6926
O 0.0000 0.5000 0.3074
O 0.5000 0.0000 0.3074
O 0.0000 0.0000 0.0000
! E_form (uncorrected): -2.405 eV/atom
! volume: 12.45 Å³/atom
! symmetry: No. 123

=====

! Ba2MnTeO6 GGA-PBEsol relaxed; values from VASP
&SYSTEM
  ibrav = 0, nat = 10, ntyp = 4
/
ATOMIC_SPECIES
O 16.00 O.upf
Te 127.60 Te.upf
Ba 137.33 Ba.upf
Mn 54.94 Mn.upf
CELL_PARAMETERS angstrom
5.7919 0.0000 0.0000
2.8959 5.0159 0.0000
2.8959 1.6720 4.7291
ATOMIC_POSITIONS crystal
O 0.2596 0.2596 0.7404
O 0.2596 0.7404 0.2596
O 0.2596 0.7404 0.7404
O 0.7404 0.7404 0.2596
O 0.7404 0.2596 0.2596
O 0.7404 0.2596 0.7404
Te 0.5000 0.5000 0.5000
Ba 0.7500 0.7500 0.7500
Ba 0.2500 0.2500 0.2500
Mn 0.0000 0.0000 0.0000
! E_form (uncorrected): -2.027 eV/atom
! volume: 13.74 Å³/atom
! symmetry: No. 225

=====

! Ba2TiMnO6 GGA-PBEsol relaxed; values from VASP
&SYSTEM
  ibrav = 0, nat = 20, ntyp = 4
/
ATOMIC_SPECIES
Ba 137.33 Ba.upf
Ti 47.87 Ti.upf
Mn 54.94 Mn.upf
O 16.00 O.upf
CELL_PARAMETERS angstrom
5.6664 0.0000 0.0000
2.8332 4.9072 0.0000
2.8332 1.6357 9.2270
ATOMIC_POSITIONS crystal
Ba 0.7149 0.7149 0.8554
Ba 0.2851 0.2851 0.1446
Ba 0.8704 0.8704 0.3889
Ba 0.1296 0.1296 0.6111
Ti 0.5927 0.5927 0.2218
Ti 0.4073 0.4073 0.7782
Mn 0.5000 0.5000 0.5000
Mn 0.0000 0.0000 0.0000
O 0.2014 0.2014 0.8832
O 0.7139 0.2014 0.8832
O 0.2014 0.7139 0.8832
O 0.7986 0.7986 0.1168
O 0.2861 0.7986 0.1168
O 0.7986 0.2861 0.1168
O 0.3934 0.3934 0.3707
O 0.8425 0.3934 0.3707
O 0.3934 0.8425 0.3707
O 0.6066 0.6066 0.6293
O 0.1575 0.6066 0.6293
O 0.6066 0.1575 0.6293
! E_form (uncorrected): -2.700 eV/atom
! volume: 12.83 Å³/atom
! symmetry: No. 166

=====

! BaTi18Mn3O38 GGA-PBEsol relaxed; values from VASP
&SYSTEM
  ibrav = 0, nat = 60, ntyp = 4
/
ATOMIC_SPECIES
Ba 137.33 Ba.upf
Ti 47.87 Ti.upf
Mn 54.94 Mn.upf
O 16.00 O.upf
CELL_PARAMETERS angstrom
10.6100 1.2078 0.9199
4.9650 9.4541 0.9199
4.9650 3.3988 8.8699
ATOMIC_POSITIONS crystal
Ba 0.0000 0.0000 0.0000
Ti 0.3632 0.0395 0.6490
Ti 0.6490 0.3632 0.0395
Ti 0.0395 0.6490 0.3632
Ti 0.6368 0.9605 0.3510
Ti 0.3510 0.6368 0.9605
Ti 0.9605 0.3510 0.6368
Ti 0.0604 0.6762 0.8935
Ti 0.8935 0.0604 0.6762
Ti 0.6762 0.8935 0.0604
Ti 0.9396 0.3238 0.1065
Ti 0.1065 0.9396 0.3238
Ti 0.3238 0.1065 0.9396
Ti 0.5928 0.3244 0.7045
Ti 0.7045 0.5928 0.3244
Ti 0.3244 0.7045 0.5928
Ti 0.4072 0.6756 0.2955
Ti 0.2955 0.4072 0.6756
Ti 0.6756 0.2955 0.4072
Mn 0.5000 0.5000 0.5000
Mn 0.7051 0.7051 0.7051
Mn 0.2949 0.2949 0.2949
O 0.5704 0.5704 0.5704
O 0.4296 0.4296 0.4296
O 0.9299 0.5501 0.9718
O 0.9718 0.9299 0.5501
O 0.5501 0.9718 0.9299
O 0.0701 0.4499 0.0282
O 0.0282 0.0701 0.4499
O 0.4499 0.0282 0.0701
O 0.3210 0.8658 0.8217
O 0.8217 0.3210 0.8658
O 0.8658 0.8217 0.3210
O 0.6790 0.1342 0.1783
O 0.1783 0.6790 0.1342
O 0.1342 0.1783 0.6790
O 0.2961 0.8383 0.3871
O 0.4316 0.3998 0.0858
O 0.3998 0.0858 0.4316
O 0.5684 0.6002 0.9142
O 0.9142 0.5684 0.6002
O 0.6002 0.9142 0.5684
O 0.3871 0.2961 0.8383
O 0.8383 0.3871 0.2961
O 0.0640 0.8869 0.7497
O 0.8869 0.7497 0.0640
O 0.7497 0.0640 0.8869
O 0.9360 0.1131 0.2503
O 0.1131 0.2503 0.9360
O 0.2503 0.9360 0.1131
O 0.3797 0.1567 0.7123
O 0.1567 0.7123 0.3797
O 0.7123 0.3797 0.1567
O 0.6203 0.8433 0.2877
O 0.8433 0.2877 0.6203
O 0.2877 0.6203 0.8433
O 0.7039 0.1617 0.6129
O 0.1617 0.6129 0.7039
O 0.6129 0.7039 0.1617
O 0.0858 0.4316 0.3998
! E_form (uncorrected): -2.430 eV/atom
! volume: 13.02 Å³/atom
! symmetry: No. 148

=====

! BaYMn4O7 GGA-PBEsol relaxed; values from VASP
&SYSTEM
  ibrav = 0, nat = 26, ntyp = 4
/
ATOMIC_SPECIES
Ba 137.33 Ba.upf
Y 88.91 Y.upf
Mn 54.94 Mn.upf
O 16.00 O.upf
CELL_PARAMETERS angstrom
-6.1223 1.5234 -0.8383
2.3293 -0.6966 5.8817
2.5349 10.3064 0.2167
ATOMIC_POSITIONS crystal
Ba 0.6667 0.3333 0.0248
Ba 0.3333 0.6667 0.5248
Y 0.6667 0.3333 0.6207
Y 0.3333 0.6667 0.1207
Mn 0.8291 0.1709 0.3122
Mn 0.1709 0.3419 0.8122
Mn 0.6581 0.8291 0.8122
Mn 0.3419 0.1709 0.3122
Mn 0.8291 0.6581 0.3122
Mn 0.1709 0.8291 0.8122
Mn 0.0000 0.0000 0.0596
Mn 0.0000 0.0000 0.5596
O 0.8329 0.1671 0.4951
O 0.1671 0.3342 0.9951
O 0.6659 0.8329 0.9951
O 0.3342 0.1671 0.4951
O 0.8329 0.6659 0.4951
O 0.1671 0.8329 0.9951
O 0.0000 0.0000 0.7490
O 0.0000 0.0000 0.2490
O 0.5074 0.4926 0.2300
O 0.4926 0.9853 0.7300
O 0.0147 0.5074 0.7300
O 0.9853 0.4926 0.2300
O 0.4926 0.5074 0.7300
O 0.5074 0.0147 0.2300
! E_form (uncorrected): -1.927 eV/atom
! volume: 14.32 Å³/atom
! symmetry: No. 186

=====

! Ba2MnOs GGA-PBEsol relaxed; values from VASP
&SYSTEM
  ibrav = 0, nat = 4, ntyp = 3
/
ATOMIC_SPECIES
Ba 137.33 Ba.upf
Mn 54.94 Mn.upf
Os 190.23 Os.upf
CELL_PARAMETERS angstrom
-1.5225 3.8160 0.5910
-2.9843 -0.5538 -4.1121
-3.7016 -1.9332 2.9467
ATOMIC_POSITIONS crystal
Ba 0.0000 0.0000 0.5000
Ba 0.0000 0.5000 0.0000
Mn 0.5000 0.5000 0.5000
Os 0.5000 0.0000 0.0000
! volume: 27.11 Å³/atom
! total energy: -5.42 eV/atom
! symmetry: No. 123

=====

! BaMnOs2 GGA-PBEsol relaxed; values from VASP
&SYSTEM
  ibrav = 0, nat = 4, ntyp = 3
/
ATOMIC_SPECIES
Ba 137.33 Ba.upf
Mn 54.94 Mn.upf
Os 190.23 Os.upf
CELL_PARAMETERS angstrom
2.9206 0.0000 0.0000
0.0000 5.3845 0.0000
-1.4603 -2.6923 5.0812
ATOMIC_POSITIONS crystal
Ba 0.4954 0.4954 0.9907
Mn 0.2933 0.7933 0.5867
Os 0.0054 0.0054 0.0107
Os 0.7059 0.2059 0.4119
! volume: 19.98 Å³/atom
! total energy: -7.89 eV/atom
! symmetry: No. 44

=====

! BaMnOs2 GGA-PBEsol relaxed; values from VASP
&SYSTEM
  ibrav = 0, nat = 4, ntyp = 3
/
ATOMIC_SPECIES
Ba 137.33 Ba.upf
Mn 54.94 Mn.upf
Os 190.23 Os.upf
CELL_PARAMETERS angstrom
3.8985 0.0000 0.0000
0.0000 3.8985 0.0000
0.0000 0.0000 4.8604
ATOMIC_POSITIONS crystal
Ba 0.5000 0.5000 0.5000
Mn 0.0000 0.0000 0.5000
Os 0.0000 0.5000 0.0000
Os 0.5000 0.0000 0.0000
! volume: 18.47 Å³/atom
! total energy: -7.51 eV/atom
! symmetry: No. 123

=====

! Ba2MnOs GGA-PBEsol relaxed; values from VASP
&SYSTEM
  ibrav = 0, nat = 4, ntyp = 3
/
ATOMIC_SPECIES
Ba 137.33 Ba.upf
Mn 54.94 Mn.upf
Os 190.23 Os.upf
CELL_PARAMETERS angstrom
4.1190 0.0000 0.0000
0.0000 5.6189 0.0000
-2.0595 -2.8095 4.8299
ATOMIC_POSITIONS crystal
Ba 0.9690 0.9690 0.9380
Ba 0.7789 0.2789 0.5579
Mn 0.5768 0.5768 0.1536
Os 0.1753 0.6753 0.3505
! volume: 27.95 Å³/atom
! total energy: -5.92 eV/atom
! symmetry: No. 44

=====

! BaMnOs3 GGA-PBEsol relaxed; values from VASP
&SYSTEM
  ibrav = 0, nat = 5, ntyp = 3
/
ATOMIC_SPECIES
Mn 54.94 Mn.upf
Os 190.23 Os.upf
Ba 137.33 Ba.upf
CELL_PARAMETERS angstrom
-3.2423 0.8178 3.1059
-3.1348 0.1545 -3.3132
-0.6988 -4.4872 0.4520
ATOMIC_POSITIONS crystal
Mn 0.0000 0.0000 0.0000
Os 0.0000 0.5000 0.0000
Os 0.0000 0.0000 0.5000
Os 0.5000 0.0000 0.0000
Ba 0.5000 0.5000 0.5000
! volume: 19.01 Å³/atom
! total energy: -8.30 eV/atom
! symmetry: No. 221

=====

! BaMnOs GGA-PBEsol relaxed; values from VASP
&SYSTEM
  ibrav = 0, nat = 3, ntyp = 3
/
ATOMIC_SPECIES
Ba 137.33 Ba.upf
Mn 54.94 Mn.upf
Os 190.23 Os.upf
CELL_PARAMETERS angstrom
-2.9096 -0.0377 0.6871
0.8262 -0.6320 3.4639
1.2067 6.1157 -1.0601
ATOMIC_POSITIONS crystal
Ba 0.9978 0.9978 0.9956
Mn 0.7209 0.7209 0.4418
Os 0.2813 0.2813 0.5627
! volume: 21.16 Å³/atom
! total energy: -7.31 eV/atom
! symmetry: No. 44

=====

! Ba2MnOs GGA-PBEsol relaxed; values from VASP
&SYSTEM
  ibrav = 0, nat = 4, ntyp = 3
/
ATOMIC_SPECIES
Ba 137.33 Ba.upf
Mn 54.94 Mn.upf
Os 190.23 Os.upf
CELL_PARAMETERS angstrom
4.2834 0.0000 0.0000
0.0000 4.9740 0.0000
0.0000 -2.4870 5.6091
ATOMIC_POSITIONS crystal
Ba 0.0000 0.9750 0.9500
Ba 0.5000 0.2704 0.5409
Mn 0.0000 0.6585 0.3169
Os 0.5000 0.5852 0.1704
! volume: 29.88 Å³/atom
! total energy: -5.97 eV/atom
! symmetry: No. 38

=====

! BaMnP2 GGA-PBEsol relaxed; values from VASP
&SYSTEM
  ibrav = 0, nat = 4, ntyp = 3
/
ATOMIC_SPECIES
Ba 137.33 Ba.upf
Mn 54.94 Mn.upf
P 30.97 P.upf
CELL_PARAMETERS angstrom
3.9998 0.0000 0.0000
1.9999 3.4639 0.0000
1.9999 1.1546 5.6772
ATOMIC_POSITIONS crystal
Ba 0.5000 0.5000 0.5000
Mn 0.0000 0.0000 0.0000
P 0.2960 0.2960 0.1119
P 0.7040 0.7040 0.8881
! volume: 19.66 Å³/atom
! total energy: -6.42 eV/atom
! symmetry: No. 166

=====

! BaMn2P GGA-PBEsol relaxed; values from VASP
&SYSTEM
  ibrav = 0, nat = 4, ntyp = 3
/
ATOMIC_SPECIES
Ba 137.33 Ba.upf
Mn 54.94 Mn.upf
P 30.97 P.upf
CELL_PARAMETERS angstrom
3.1830 -0.0400 -0.0644
-1.5616 5.6053 -0.3494
-1.5616 -2.7978 4.8697
ATOMIC_POSITIONS crystal
Ba 0.0000 0.5000 0.5000
Mn 0.0000 0.5000 0.0000
Mn 0.0000 0.0000 0.5000
P 0.0000 0.0000 0.0000
! volume: 20.65 Å³/atom
! total energy: -6.08 eV/atom
! symmetry: No. 12

=====

! Ba2MnP GGA-PBEsol relaxed; values from VASP
&SYSTEM
  ibrav = 0, nat = 4, ntyp = 3
/
ATOMIC_SPECIES
Ba 137.33 Ba.upf
Mn 54.94 Mn.upf
P 30.97 P.upf
CELL_PARAMETERS angstrom
-3.8461 -0.1307 1.0724
-1.0248 -0.8132 -3.7746
0.6584 -7.5298 1.4434
ATOMIC_POSITIONS crystal
Ba 0.0000 0.0000 0.7147
Ba 0.0000 0.0000 0.2853
Mn 0.5000 0.5000 0.0000
P 0.5000 0.5000 0.5000
! volume: 30.70 Å³/atom
! total energy: -4.96 eV/atom
! symmetry: No. 123

=====

! BaMn2P2 GGA-PBEsol relaxed; values from VASP
&SYSTEM
  ibrav = 0, nat = 5, ntyp = 3
/
ATOMIC_SPECIES
P 30.97 P.upf
Mn 54.94 Mn.upf
Ba 137.33 Ba.upf
CELL_PARAMETERS angstrom
3.7656 0.0000 0.0000
0.0000 3.7656 0.0000
-1.8828 -1.8828 6.3075
ATOMIC_POSITIONS crystal
P 0.3468 0.3468 0.6936
P 0.6532 0.6532 0.3064
Mn 0.2500 0.7500 0.5000
Mn 0.7500 0.2500 0.5000
Ba 0.0000 0.0000 0.0000
! volume: 17.89 Å³/atom
! total energy: -7.42 eV/atom
! symmetry: No. 139